1.
First-principles (PBE) data for a relaxed structure of K2NpTiS4, as listed in Alexandria.

a = 5.8378 Å, b = 9.3160 Å, c = 8.5224 Å
α = 90.00°, β = 90.00°, γ = 90.00°
Last column: magnetic moment on the atom in μB.
Element x y z (fractional)
K 0.4339 0.3673 0.2741  0.00
Np 0.9376 0.1100 0.5000  4.05
S 0.8960 0.8308 0.5000  -0.05
Ti 0.4978 0.8407 0.5000  0.71
K 0.4339 0.3673 0.7259  0.00
S 0.4314 0.7168 0.2599  -0.04
S 0.9379 0.9101 0.0000  -0.06
S 0.3960 0.1692 0.0000  -0.05
S 0.4314 0.7168 0.7401  -0.04
Np 0.4376 0.8900 0.0000  4.05
Ti 0.9978 0.1593 0.0000  0.71
K 0.9339 0.6327 0.7741  0.00
S 0.9314 0.2832 0.7599  -0.04
K 0.9339 0.6327 0.2259  0.00
S 0.9314 0.2832 0.2401  -0.04
S 0.4379 0.0899 0.5000  -0.06

Results
Symmetry   Pmn2_1 (31)


2.
First-principles (PBE) data for a relaxed structure of Ac3Sm3DyTe8, as listed in Alexandria.

a = 9.0391 Å, b = 9.0393 Å, c = 9.2138 Å
α = 119.38°, β = 90.00°, γ = 120.00°
Element x y z (fractional)
Te 0.7547 0.0120 0.2667
Sm 0.5000 0.0000 0.5000
Ac 0.0000 0.5000 0.0000
Te 0.2562 0.5124 0.2686
Te 0.2453 0.4906 0.7333
Te 0.7547 0.5094 0.2667
Te 0.7438 0.4876 0.7314
Ac 0.0000 0.0000 0.0000
Sm 0.5000 0.5000 0.5000
Sm 0.0000 0.5000 0.5000
Te 0.2453 0.9880 0.7333
Te 0.7426 0.9880 0.7333
Te 0.2574 0.0120 0.2667
Dy 0.0000 0.0000 0.5000
Ac 0.5000 0.5000 0.0000

Results
Symmetry   R-3m (166)


3.
First-principles (PBE) data for a relaxed structure of Sm3ZnN, as listed in Alexandria.

a = 4.9119 Å, b = 4.9119 Å, c = 4.9119 Å
α = 90.00°, β = 90.00°, γ = 90.00°
Element x y z (fractional)
Zn 0.5000 0.5000 0.5000
N 0.0000 0.0000 0.0000
Sm 0.0000 0.5000 0.0000
Sm 0.0000 0.0000 0.5000
Sm 0.5000 0.0000 0.0000

Results
Symmetry   Pm-3m (221)
Energy relative to the lowest polymorph listed for this composition   56.0 meV per atom


4.
First-principles (PBE) data for a relaxed structure of MgGeP2O, as listed in Alexandria.

a = 4.9653 Å, b = 4.9653 Å, c = 3.5535 Å
α = 90.00°, β = 90.00°, γ = 90.00°
Element x y z (fractional)
Mg 0.5000 0.5000 0.5000
P 0.5000 0.0000 0.0000
O 0.0000 0.0000 0.5000
P 0.0000 0.5000 0.0000
Ge 0.0000 0.0000 0.0000

Results
Symmetry   P4/mmm (123)
Energy relative to the lowest polymorph listed for this composition   0.0 meV per atom


Number 1: E_form (uncorrected) -1.185 eV/atom, energy -6.13 eV per atom. Number 2: E_form (uncorrected) -1.459 eV/atom, energy -5.21 eV per atom. Number 3: E_form (uncorrected) -0.683 eV/atom, energy -5.43 eV per atom. Number 4: E_form (uncorrected) 0.052 eV/atom, energy -4.35 eV per atom.